The following is a DFT calculation (PBE+U) of a relaxed GeSbMoO6 crystal.

Output
As for the uncorrected energy: -117.681 eV for the cell shown. As for the crystal system: tetragonal. Its calculated volume is 213.2 Å³/cell. As for the space group: P4_2nm, No. 102.

a b c (Å): 4.7228 4.7228 9.5588
angles (deg): 90.00 90.00 90.00
Closest atoms and distances in Å follow each position.
Positions (direct):
Ge (0.5000, 0.5000, 0.8322)  6 O 1.94-1.97
Ge (0.0000, 0.0000, 0.3322)  6 O 1.94-1.97
Sb (0.5000, 0.5000, 0.1670)  6 O 2.11-2.15
Sb (0.0000, 0.0000, 0.6670)  6 O 2.11-2.15
Mo (0.5000, 0.5000, 0.4982)  6 O 2.05-2.09
Mo (0.0000, 0.0000, 0.9982)  6 O 2.05-2.09
O (0.1933, 0.8067, 0.4877)  1 Ge 1.97, 1 Mo 2.05, 1 Sb 2.15
O (0.8067, 0.1933, 0.4877)  1 Ge 1.97, 1 Mo 2.05, 1 Sb 2.15
O (0.3067, 0.3067, 0.9877)  1 Ge 1.97, 1 Mo 2.05, 1 Sb 2.15
O (0.6933, 0.6933, 0.9877)  1 Ge 1.97, 1 Mo 2.05, 1 Sb 2.15
O (0.1836, 0.8164, 0.1751)  1 Ge 1.94, 1 Mo 2.09, 1 Sb 2.11
O (0.8164, 0.1836, 0.1751)  1 Ge 1.94, 1 Mo 2.09, 1 Sb 2.11
O (0.3164, 0.3164, 0.6751)  1 Ge 1.94, 1 Mo 2.09, 1 Sb 2.11
O (0.6836, 0.6836, 0.6751)  1 Ge 1.94, 1 Mo 2.09, 1 Sb 2.11
O (0.7928, 0.2072, 0.8385)  1 Ge 1.96, 1 Mo 2.06, 1 Sb 2.15
O (0.2072, 0.7928, 0.8385)  1 Ge 1.96, 1 Mo 2.06, 1 Sb 2.15
O (0.7072, 0.7072, 0.3385)  1 Ge 1.96, 1 Mo 2.06, 1 Sb 2.15
O (0.2928, 0.2928, 0.3385)  1 Ge 1.96, 1 Mo 2.06, 1 Sb 2.15